No. 1
A plane-wave DFT calculation with GGA-PBE was carried out for a geometry-optimized TbEr7Tl4 structure.

Cell and atoms, written as POSCAR:
```
TbEr7Tl4
1.0
-5.645 0.368 -0.918
-3.844 -7.791 2.627
-3.964 0.932 6.857
Tb Er Tl
1 7 4
Direct
0.000 0.000 0.000
0.797 0.878 0.528
0.203 0.122 0.472
0.070 0.591 0.270
0.930 0.409 0.730
0.257 0.697 0.789
0.500 0.000 0.000
0.743 0.303 0.211
0.548 0.288 0.615
0.452 0.712 0.385
0.685 0.663 0.968
0.315 0.337 0.032
```

Calculated values
total magnetization = 0.000 μB per atom
theoretical density = 10.1 Mg/m³
V = 352.92 Å³/cell
calculated formation energy = 0.007 eV per atom
crystal system = monoclinic

---

No. 2
A plane-wave DFT calculation with GGA-PBE was carried out for a geometry-optimized MgTc2Mo2 structure.

Cell and atoms, written as POSCAR:
```
MgTc2Mo2
1.0
7.658 0.000 0.000
0.000 7.658 0.000
0.000 0.000 2.862
Mg Mo Tc
2 4 4
Direct
0.000 0.000 0.000
0.500 0.500 0.000
0.357 0.857 0.000
0.857 0.643 0.000
0.643 0.143 0.000
0.143 0.357 0.000
0.152 0.652 0.500
0.652 0.848 0.500
0.848 0.348 0.500
0.348 0.152 0.500
```

Calculated values
total magnetization = 0.000 μB per atom
theoretical density = 8.2 Mg/m³
V = 167.83 Å³/cell
calculated formation energy = 0.257 eV per atom
crystal system = tetragonal

---

No. 3
A plane-wave DFT calculation with GGA-PBE was carried out for a geometry-optimized LiYSb2 structure.

Cell and atoms, written as POSCAR:
```
LiYSb2
1.0
5.501 0.000 0.000
0.000 3.352 0.002
0.000 -0.003 5.501
Li Sb Y
1 2 1
Direct
0.500 0.628 0.875
0.000 0.124 0.875
0.500 0.124 0.375
0.000 0.624 0.375
```

Calculated values
total magnetization = 0.003 μB per atom
theoretical density = 5.6 Mg/m³
V = 101.43 Å³/cell
crystal system = tetragonal
raw formation energy = -59.0 kJ/mol of atoms

---

No. 4
A plane-wave DFT calculation with GGA-PBE was carried out for a geometry-optimized SiPPb2 structure.

Cell and atoms, written as POSCAR:
```
SiPPb2
1.0
-4.779 1.722 -0.540
-3.756 -3.235 -1.232
-3.559 -1.217 3.456
P Pb Si
1 2 1
Direct
0.500 0.500 0.500
0.000 0.000 0.000
0.750 0.750 0.750
0.250 0.250 0.250
```

Calculated values
total magnetization = 0.000 μB per atom
theoretical density = 8.3 Mg/m³
V = 94.23 Å³/cell
crystal system = cubic
raw formation energy = 57.9 kJ/mol of atoms

---

No. 5
A plane-wave DFT calculation with GGA-PBE was carried out for a geometry-optimized HfAl3Mo structure.

Cell and atoms, written as POSCAR:
```
HfAl3Mo
1.0
-2.830 -4.084 0.882
2.288 -2.406 -3.801
3.497 -1.732 3.201
Mo Hf Al
1 1 3
Direct
0.500 0.500 0.500
0.000 0.000 0.000
0.000 0.500 0.000
0.000 0.000 0.500
0.500 0.000 0.000
```

Calculated values
total magnetization = 0.597 μB per atom
theoretical density = 4.6 Mg/m³
V = 128.55 Å³/cell
calculated formation energy = 1.521 eV per atom
crystal system = cubic

---

No. 6
A plane-wave DFT calculation with GGA-PBE was carried out for a geometry-optimized Sb2RuAu structure.

Cell and atoms, written as POSCAR:
```
Sb2RuAu
1.0
7.031 -0.001 0.001
5.087 4.853 -0.001
-5.784 -3.112 2.508
Au Ru Sb
1 1 2
Direct
0.437 0.437 0.000
0.226 0.726 0.500
0.057 0.057 0.000
0.780 0.280 0.500
```

Calculated values
total magnetization = 0.000 μB per atom
theoretical density = 10.5 Mg/m³
V = 85.57 Å³/cell
crystal system = orthorhombic
raw formation energy = 6.8 kJ/mol of atoms

---

No. 7
A plane-wave DFT calculation with GGA-PBE was carried out for a geometry-optimized La12Ho6Er structure.

Cell and atoms, written as POSCAR:
```
La12Ho6Er
1.0
-5.811 4.954 -5.337
-0.793 -8.884 -2.688
-3.277 0.478 8.707
La Ho Er
12 6 1
Direct
0.490 0.193 0.586
0.193 0.586 0.490
0.586 0.490 0.193
0.510 0.807 0.414
0.807 0.414 0.510
0.414 0.510 0.807
0.286 0.114 0.816
0.184 0.714 0.886
0.886 0.184 0.714
0.714 0.886 0.184
0.816 0.286 0.114
0.114 0.816 0.286
0.090 0.193 0.438
0.807 0.562 0.910
0.562 0.910 0.807
0.910 0.807 0.562
0.193 0.438 0.090
0.438 0.090 0.193
0.000 0.000 0.000
```

Calculated values
total magnetization = 0.001 μB per atom
theoretical density = 6.9 Mg/m³
V = 677.22 Å³/cell
calculated formation energy = 0.226 eV per atom
crystal system = trigonal

---

No. 8
A plane-wave DFT calculation with GGA-PBE was carried out for a geometry-optimized ReBr structure.

Cell and atoms, written as POSCAR:
```
ReBr
1.0
3.203 0.000 0.000
0.000 3.203 0.000
0.000 0.000 3.203
Re Br
1 1
Direct
0.500 0.500 0.500
0.000 0.000 0.000
```

Calculated values
total magnetization = 0.000 μB per atom
theoretical density = 13.4 Mg/m³
V = 32.87 Å³/cell
crystal system = cubic
raw formation energy = 171.4 kJ/mol of atoms

---

- theoretical density of number 8 (ReBr)?
  13.4 Mg/m³

---

- Which formula does entry 6 have?
  Sb2RuAu

---

- What is the theoretical density in the eighth record?
  13.4 Mg/m³

---

- Which of these has the highest theoretical density?
  ReBr